Density functional theory data (PBE-GGA) for a relaxed structure of LaSiGePt6.

abc: 8.0328 8.0328 8.0328
angles: 123.61 116.79 89.75
Fractional positions:
La (0.4019, 0.1519, 0.2500)
La (0.5981, 0.8481, 0.7500)
Si (0.0000, 0.5000, 0.5000)
Si (0.5000, 0.5000, 0.0000)
Ge (0.0000, 0.0000, 0.5000)
Ge (0.0000, 0.5000, 0.0000)
Pt (0.1091, 0.3767, 0.2406)
Pt (0.1091, 0.8685, 0.7324)
Pt (0.1357, 0.8857, 0.2500)
Pt (0.3444, 0.5944, 0.7500)
Pt (0.3639, 0.1315, 0.7406)
Pt (0.3639, 0.6233, 0.2324)
Pt (0.6361, 0.3767, 0.7676)
Pt (0.6361, 0.8685, 0.2594)
Pt (0.6556, 0.4056, 0.2500)
Pt (0.8643, 0.1143, 0.7500)
Pt (0.8909, 0.1315, 0.2676)
Pt (0.8909, 0.6233, 0.7594)

Results
Formation energy from raw total energies ... -0.51 eV/atom
Magnetization ... 0.0 μB/cell
Energy ... -6.203 eV/atom

***

Density functional theory data (PBE-GGA) for a relaxed structure of La2SiGePt6.

abc: 5.6053 8.6767 8.3551
angles: 90.00 90.00 90.00
Fractional positions:
La (0.2500, 0.0022, 0.2272)
La (0.2500, 0.4978, 0.2272)
La (0.7500, 0.5022, 0.7728)
La (0.7500, 0.9978, 0.7728)
Si (0.2500, 0.2500, 0.7513)
Si (0.7500, 0.7500, 0.2487)
Ge (0.2500, 0.7500, 0.7668)
Ge (0.7500, 0.2500, 0.2332)
Pt (0.0012, 0.2500, 0.9851)
Pt (0.0006, 0.7500, 0.4972)
Pt (0.2500, 0.0003, 0.6139)
Pt (0.2500, 0.4997, 0.6139)
Pt (0.4988, 0.2500, 0.9851)
Pt (0.4994, 0.7500, 0.4972)
Pt (0.5006, 0.2500, 0.5028)
Pt (0.5012, 0.7500, 0.0149)
Pt (0.7500, 0.9997, 0.3861)
Pt (0.7500, 0.5003, 0.3861)
Pt (0.9994, 0.2500, 0.5028)
Pt (0.9988, 0.7500, 0.0149)

Results
Formation energy from raw total energies ... -0.99 eV/atom
Magnetization ... 0.0 μB/cell
Energy ... -6.602 eV/atom

***

Density functional theory data (PBE-GGA) for a relaxed structure of LaSi2Ge2Pt7.

abc: 3.9749 3.9749 14.7536
angles: 94.25 94.25 89.75
Fractional positions:
La (0.0000, 0.0000, 0.0000)
Si (0.4246, 0.4246, 0.7461)
Si (0.5754, 0.5754, 0.2539)
Ge (0.1551, 0.1551, 0.4251)
Ge (0.8449, 0.8449, 0.5749)
Pt (0.0495, 0.5481, 0.1621)
Pt (0.4029, 0.4029, 0.5872)
Pt (0.4519, 0.9505, 0.8379)
Pt (0.5000, 0.5000, 0.0000)
Pt (0.5481, 0.0495, 0.1621)
Pt (0.5971, 0.5971, 0.4128)
Pt (0.9505, 0.4519, 0.8379)

Results
Formation energy from raw total energies ... -0.55 eV/atom
Magnetization ... 0.0 μB/cell
Energy ... -6.156 eV/atom

***

Density functional theory data (PBE-GGA) for a relaxed structure of La2SmGe3Pt4.

abc: 4.3918 4.3918 11.1964
angles: 90.00 90.00 90.00
Fractional positions:
La (0.0000, 0.5000, 0.2228)
La (0.5000, 0.0000, 0.7772)
Sm (0.0000, 0.0000, 0.5000)
Ge (0.0000, 0.5000, 0.8822)
Ge (0.5000, 0.0000, 0.1178)
Ge (0.5000, 0.5000, 0.5000)
Pt (0.0000, 0.0000, 0.0000)
Pt (0.0000, 0.5000, 0.6607)
Pt (0.5000, 0.0000, 0.3393)
Pt (0.5000, 0.5000, 0.0000)

Results
Magnetization ... 0.0 μB/cell
Energy ... -6.236 eV/atom
Formation energy from the elements ... -977 meV/atom

***

Density functional theory data (PBE-GGA) for a relaxed structure of LaSmGePt.

abc: 4.7301 4.7301 10.3960
angles: 90.00 90.00 90.00
Fractional positions:
La (0.2500, 0.2500, 0.1653)
La (0.7500, 0.7500, 0.8347)
Sm (0.2500, 0.7500, 0.5000)
Sm (0.7500, 0.2500, 0.5000)
Ge (0.2500, 0.2500, 0.8866)
Ge (0.7500, 0.7500, 0.1134)
Pt (0.2500, 0.2500, 0.6570)
Pt (0.7500, 0.7500, 0.3430)

Results
Magnetization ... 0.0 μB/cell
Energy ... -5.794 eV/atom
Distance to the lowest polymorph of the same formula ... 13.8 kJ/mol of atoms
Formation energy from the elements ... -718 meV/atom

***

Density functional theory data (PBE-GGA) for a relaxed structure of LaSmGePt.

abc: 5.1899 5.1899 5.1899
angles: 60.00 60.00 60.00
Fractional positions:
La (0.0000, 0.0000, 0.0000)
Sm (0.5000, 0.5000, 0.5000)
Ge (0.7500, 0.7500, 0.7500)
Pt (0.2500, 0.2500, 0.2500)

Results
Magnetization ... 0.0 μB/cell
Energy ... -5.937 eV/atom
Distance to the lowest polymorph of the same formula ... 0.0 kJ/mol of atoms
Formation energy from the elements ... -860 meV/atom

***

What is the magnetization in the fourth record? 0.0 μB/cell